# 1
PBE-GGA YPuIr2, optimized geometry; E_form = -617 meV per atom; space-group type = P2/c (13); mass density = 13.91 Mg/m³; crystal system = monoclinic
1.0
5.627 0.000 0.000
0.000 5.645 0.000
-2.856 0.000 10.785
Y Pu Ir
4 4 8
Direct
0.197 0.123 0.147
0.197 0.877 0.647
0.803 0.123 0.353
0.803 0.877 0.853
0.303 0.377 0.858
0.303 0.623 0.358
0.697 0.377 0.642
0.697 0.623 0.142
0.169 0.378 0.593
0.169 0.622 0.093
0.333 0.130 0.417
0.333 0.870 0.917
0.667 0.130 0.083
0.667 0.870 0.583
0.831 0.378 0.907
0.831 0.622 0.407

***

# 2
PBE-GGA Pm6Hg3O, optimized geometry; raw formation energy = -0.785 eV/atom; space-group type = Cmc2_1 (36); mass density = 8.62 Mg/m³; crystal system = orthorhombic
1.0
6.210 -7.071 0.000
6.210 7.071 0.000
0.000 0.000 6.530
Pm Hg O
12 6 2
Direct
0.078 0.922 0.500
0.132 0.554 0.706
0.236 0.328 0.165
0.302 0.698 0.224
0.328 0.236 0.665
0.446 0.868 0.706
0.554 0.132 0.206
0.672 0.764 0.165
0.698 0.302 0.724
0.764 0.672 0.665
0.868 0.446 0.206
0.922 0.078 0.000
0.002 0.249 0.541
0.249 0.002 0.041
0.473 0.527 0.888
0.527 0.473 0.388
0.751 0.998 0.541
0.998 0.751 0.041
0.243 0.757 0.549
0.757 0.243 0.049

***

Question: Which value of mass density does entry 1 give?
Answer: 13.91 Mg/m³

***

Question: Which formula does entry 1 have?
Answer: YPuIr2

***

Question: Among the records above, which one has the highest mass density?
Answer: YPuIr2

***

Question: The lowest mass density belongs to which entry?
Answer: Pm6Hg3O